# 1
A plane-wave DFT calculation with PBE was carried out for a relaxed ZrBeCo2 crystal.

Lattice parameters (Å, degrees): 4.2063 4.2063 4.2063 60.00 60.00 60.00
With the nearest neighbours (Å) after each atom.
Sites, in units of the cell vectors:
1 Be 0.5000 0.5000 0.5000  4 Zr 2.58, 4 Co 2.58
2 Co 0.0000 0.0000 0.0000  4 Co 2.58, 4 Zr 2.58
3 Co 0.7500 0.7500 0.7500  4 Be 2.58, 4 Co 2.58
4 Zr 0.2500 0.2500 0.2500  4 Co 2.58, 4 Be 2.58


# 2
A plane-wave DFT calculation with PBE was carried out for a relaxed Zr3Be8Co crystal.

Lattice parameters (Å, degrees): 4.6176 4.6176 8.1851 73.62 73.62 60.00
With the nearest neighbours (Å) after each atom.
Sites, in units of the cell vectors:
1 Zr 0.3768 0.3768 0.8695  12 Be 2.72-2.87, 4 Zr 2.91-2.96
2 Zr 0.9936 0.9936 0.0192  12 Be 2.69-2.95, 1 Co 2.70, 3 Zr 2.91
3 Zr 0.5044 0.5044 0.4867  12 Be 2.60-2.75, 3 Co 2.82
4 Be 0.9335 0.4344 0.1978  6 Be 2.28-2.41
5 Be 0.4391 0.9407 0.6795  6 Be 2.30-2.41
6 Be 0.4344 0.4344 0.1978  6 Be 2.28-2.41
7 Be 0.9407 0.9407 0.6795  6 Be 2.30-2.41
8 Be 0.1878 0.1878 0.4366  6 Be 2.28-2.30
9 Be 0.6870 0.6870 0.9389  6 Be 2.41
10 Be 0.4344 0.9335 0.1978  6 Be 2.28-2.41
11 Be 0.9407 0.4391 0.6795  6 Be 2.30-2.41
12 Co 0.8775 0.8775 0.3675  12 Be 2.66-2.76, 4 Zr 2.70-2.82


# 3
A plane-wave DFT calculation with PBE was carried out for a relaxed ZrBe2Co crystal.

Computed properties:
Energy relative to the lowest polymorph listed for this composition, meV/atom: 428

Lattice parameters (Å, degrees): 3.9105 3.9105 7.8042 75.49 75.49 90.00
With the nearest neighbours (Å) after each atom.
Sites, in units of the cell vectors:
1 Be 0.3752 0.1250 0.2500  2 Be 1.96, 2 Co 2.07
2 Be 0.3748 0.6250 0.2500  2 Be 1.96, 2 Co 2.07
3 Be 0.3750 0.6248 0.7500  2 Be 1.96, 2 Co 2.07
4 Be 0.8750 0.6252 0.7500  2 Be 1.96, 2 Co 2.07
5 Co 0.5000 0.5000 0.0000  4 Be 2.07
6 Co 0.2500 0.7500 0.5000  4 Be 2.07
7 Zr 0.0000 0.0000 0.0000  4 Co 2.77, 8 Be 2.85
8 Zr 0.7500 0.2500 0.5000  4 Co 2.77, 8 Be 2.85


no.,energy of formation from the pure elements (eV/atom),total moment (Bohr magnetons per cell)
1,0.0355,2.93
2,-0.1324,0.00
3,0.1661,0.00